{"formula": "AcGa5Pd2", "functional": "PBE-GGA", "state": "relaxed", "ef_ev_per_atom": -0.5995, "crystal_system": "orthorhombic", "lattice": [[-2.1179, 3.6300, 5.0940], [2.1179, -3.6300, 5.0940], [2.1179, 3.6300, -5.0940]], "species": ["Ac", "Ga", "Ga", "Ga", "Ga", "Ga", "Pd", "Pd"], "frac_coords": [[0.0000, 0.0000, 0.0000], [0.1651, 0.3541, 0.8111], [0.4570, 0.6459, 0.8111], [0.5000, 0.0000, 0.5000], [0.5430, 0.3541, 0.1889], [0.8349, 0.6459, 0.1889], [0.2603, 0.7603, 0.5000], [0.7397, 0.2397, 0.5000]]}

{"formula": "CsNbInCo2", "functional": "PBE-GGA", "state": "relaxed", "ef_ev_per_atom": 2.4624, "crystal_system": "tetragonal", "lattice": [[4.6191, 0.0000, 0.0000], [0.0000, 4.6191, 0.0000], [0.0000, 0.0000, 5.8452]], "species": ["Cs", "Nb", "In", "Co", "Co"], "frac_coords": [[0.0000, 0.0000, 0.0000], [0.5000, 0.5000, 0.5000], [0.0000, 0.0000, 0.5000], [0.0000, 0.5000, 0.0000], [0.5000, 0.0000, 0.0000]]}

{"formula": "CaGaC3", "functional": "PBE-GGA", "state": "relaxed", "e_above_lowest_polymorph_ev_per_fu": 0.000, "ef_ev_per_atom": 1.8747, "crystal_system": "cubic", "lattice": [[4.0764, 0.0000, 0.0000], [0.0000, 4.0764, 0.0000], [0.0000, 0.0000, 4.0764]], "species": ["Ca", "Ga", "C", "C", "C"], "frac_coords": [[0.0000, 0.0000, 0.0000], [0.5000, 0.5000, 0.5000], [0.0000, 0.5000, 0.5000], [0.5000, 0.0000, 0.5000], [0.5000, 0.5000, 0.0000]]}

{"formula": "Ce2CdPt2", "functional": "PBE-GGA", "state": "relaxed", "ef_ev_per_atom": -0.9523, "crystal_system": "tetragonal", "lattice": [[7.8691, 0.0000, 0.0000], [0.0000, 7.8691, 0.0000], [0.0000, 0.0000, 3.7381]], "species": ["Ce", "Ce", "Ce", "Ce", "Cd", "Cd", "Pt", "Pt", "Pt", "Pt"], "frac_coords": [[0.1698, 0.3302, 0.0000], [0.3302, 0.8302, 0.0000], [0.6698, 0.1698, 0.0000], [0.8302, 0.6698, 0.0000], [0.0000, 0.0000, 0.5000], [0.5000, 0.5000, 0.5000], [0.1322, 0.6322, 0.5000], [0.3678, 0.1322, 0.5000], [0.6322, 0.8678, 0.5000], [0.8678, 0.3678, 0.5000]]}

{"formula": "Rb3Pa2PdS6", "functional": "PBE-GGA", "state": "relaxed", "formation_energy_uncorrected_kj_per_mol_fu": -1499.3, "crystal_system": "monoclinic", "lattice": [[3.3882, -6.3491, 0.0000], [3.3882, 6.3491, 0.0000], [-2.0806, 0.0000, 7.6535]], "species": ["Rb", "Rb", "Rb", "Pa", "Pa", "Pd", "S", "S", "S", "S", "S", "S"], "frac_coords": [[0.0000, 0.0000, 0.0000], [0.3506, 0.6494, 0.0000], [0.6494, 0.3506, 0.0000], [0.1629, 0.8371, 0.5000], [0.8371, 0.1629, 0.5000], [0.5000, 0.5000, 0.5000], [0.0580, 0.4418, 0.2945], [0.2324, 0.2324, 0.6721], [0.4418, 0.0580, 0.2945], [0.5582, 0.9420, 0.7055], [0.7676, 0.7676, 0.3279], [0.9420, 0.5582, 0.7055]]}

{"formula": "ZnNi5Rh4", "functional": "PBE-GGA", "state": "relaxed", "ef_ev_per_atom": -0.0092, "crystal_system": "monoclinic", "lattice": [[6.6528, -1.8650, 0.0000], [6.6528, 1.8650, 0.0000], [-1.1453, 0.0000, 5.0754]], "species": ["Zn", "Ni", "Ni", "Ni", "Ni", "Ni", "Rh", "Rh", "Rh", "Rh"], "frac_coords": [[0.0000, 0.0000, 0.0000], [0.0000, 0.0000, 0.5000], [0.1985, 0.1985, 0.6030], [0.4016, 0.4016, 0.2005], [0.5984, 0.5984, 0.7995], [0.8015, 0.8015, 0.3970], [0.2020, 0.2020, 0.1064], [0.4003, 0.4003, 0.6859], [0.5997, 0.5997, 0.3141], [0.7980, 0.7980, 0.8936]]}

{"formula": "Ba2SrIr", "functional": "PBE-GGA", "state": "relaxed", "e_above_lowest_polymorph_ev_per_fu": 1.921, "ef_ev_per_atom": 0.3091, "crystal_system": "tetragonal", "lattice": [[5.2157, 0.0000, 0.0000], [0.0000, 5.2157, 0.0000], [0.0000, 0.0000, 5.0697]], "species": ["Ba", "Ba", "Sr", "Ir"], "frac_coords": [[0.0000, 0.5000, 0.0000], [0.5000, 0.0000, 0.0000], [0.0000, 0.0000, 0.5000], [0.5000, 0.5000, 0.5000]]}

{"formula": "Ac3Zn2InPd9", "functional": "PBE-GGA", "state": "relaxed", "ef_ev_per_atom": -0.5708, "crystal_system": "trigonal", "lattice": [[5.8861, 0.0000, 0.0000], [-2.9430, 5.0975, 0.0000], [0.0000, 0.0000, 11.6924]], "species": ["Ac", "Ac", "Ac", "Zn", "Zn", "In", "Pd", "Pd", "Pd", "Pd", "Pd", "Pd", "Pd", "Pd", "Pd"], "frac_coords": [[0.0000, 0.0000, 0.0000], [0.3333, 0.6667, 0.7399], [0.6667, 0.3333, 0.2601], [0.3333, 0.6667, 0.1612], [0.6667, 0.3333, 0.8388], [0.0000, 0.0000, 0.5000], [0.0000, 0.5000, 0.0000], [0.1647, 0.3294, 0.3184], [0.1647, 0.8353, 0.3184], [0.3294, 0.1647, 0.6816], [0.5000, 0.0000, 0.0000], [0.5000, 0.5000, 0.0000], [0.6706, 0.8353, 0.3184], [0.8353, 0.1647, 0.6816], [0.8353, 0.6706, 0.6816]]}